1.
4
Lattice="2.7028 -6.5518 0.0000 2.7028 6.5518 0.0000 0.0000 0.0000 3.3469" Properties=species:S:1:pos:R:3 comment="CoTeBr2 GGA-PBE optimized geometry" dos_ef_per_ev_atom=0.43 formation_energy_uncorrected_ev_per_atom=-0.061 magmom_total_mub_per_atom=0.125 space_group="Cmmm, No. 65" pbc="T T T"
Co 0.0000 0.0000 0.0000
Te 2.7028 0.0000 0.0000
Br 2.7028 4.8821 1.6735
Br 2.7028 -4.8821 1.6735

2.
12
Lattice="6.3147 0.0000 0.0000 0.1568 8.0078 0.0000 2.0260 1.2191 7.8853" Properties=species:S:1:pos:R:3 comment="CoTe4Br GGA-PBE optimized geometry" dos_ef_per_ev_atom=0.00 e_above_lowest_polymorph_ev_per_atom=0.0000 formation_energy_uncorrected_ev_per_atom=-0.133 magmom_total_mub_per_atom=0.000 space_group="P-1, No. 2" pbc="T T T"
Co 1.5985 0.4264 1.0721
Co 6.8989 8.8006 6.8131
Te 1.5373 2.2440 2.7838
Te 2.7609 1.7349 6.5628
Te 2.7930 7.5450 3.2245
Te 4.6683 7.6831 7.5337
Te 3.8291 1.5438 0.3516
Te 5.7044 1.6819 4.6608
Te 5.7365 7.4920 1.3225
Te 6.9601 6.9829 5.1015
Br 2.2706 4.8006 5.8263
Br 6.2268 4.4263 2.0590

3.
5
Lattice="5.0920 0.0000 0.0000 0.0000 5.0920 0.0000 0.0000 0.0000 5.0920" Properties=species:S:1:pos:R:3 comment="CoTe3Br GGA-PBE optimized geometry" dos_ef_per_ev_atom=1.64 e_above_lowest_polymorph_ev_per_atom=0.0000 formation_energy_uncorrected_ev_per_atom=0.333 magmom_total_mub_per_atom=0.401 space_group="Pm-3m, No. 221" pbc="T T T"
Co 0.0000 0.0000 0.0000
Te 0.0000 0.0000 2.5460
Te 0.0000 2.5460 0.0000
Te 2.5460 0.0000 0.0000
Br 2.5460 2.5460 2.5460

4.
4
Lattice="3.4638 0.0000 0.0000 0.0000 3.4638 0.0000 0.0000 0.0000 9.0719" Properties=species:S:1:pos:R:3 comment="CoTe2Br GGA-PBE optimized geometry" dos_ef_per_ev_atom=1.03 e_above_lowest_polymorph_ev_per_atom=0.3413 formation_energy_uncorrected_ev_per_atom=0.149 magmom_total_mub_per_atom=0.215 space_group="P4mm, No. 99" pbc="T T T"
Co 0.0000 0.0000 0.0000
Te 0.0000 0.0000 2.4623
Te 1.7319 1.7319 8.3250
Br 1.7319 1.7319 5.7124

5.
32
Lattice="4.1773 -5.5452 0.0000 4.1773 5.5452 0.0000 -1.7510 0.0000 20.7987" Properties=species:S:1:pos:R:3 comment="CoTe2Br GGA-PBE optimized geometry" dos_ef_per_ev_atom=0.31 e_above_lowest_polymorph_ev_per_atom=0.1136 formation_energy_uncorrected_ev_per_atom=-0.079 magmom_total_mub_per_atom=0.089 space_group="C2/c, No. 15" pbc="T T T"
Co 0.7983 0.8648 17.0950
Co 2.9451 2.7831 14.3348
Co 2.7831 2.7831 16.8632
Co 1.6737 -0.8648 6.6956
Co 4.9299 0.8648 14.1031
Co 3.8206 -2.7831 3.9355
Co 3.6586 -2.7831 6.4639
Co 5.8054 -0.8648 3.7037
Te 1.8447 2.6902 5.2571
Te 2.8641 5.1194 15.5990
Te 1.1597 1.3410 7.8835
Te 2.0323 1.8020 19.0206
Te 0.2842 -1.3410 18.2829
Te 3.6958 1.8020 12.1774
Te 2.8641 0.5651 15.5990
Te 5.6344 2.6902 5.1423
Te 0.9693 -2.6902 15.6564
Te 3.7396 -0.5651 5.1997
Te 2.9078 -1.8020 8.6213
Te 6.3194 1.3410 2.5158
Te 4.5713 -1.8020 1.7781
Te 5.4440 -1.3410 12.9152
Te 3.7396 -5.1194 5.1997
Te 4.7589 -2.6902 15.5416
Br 3.3356 3.3651 2.4151
Br 1.5395 0.4242 11.5327
Br 4.1435 3.3651 7.9842
Br 2.4150 -0.4242 1.1333
Br 4.1887 0.4242 19.6654
Br 2.4601 -3.3651 12.8145
Br 5.0641 -0.4242 9.2661
Br 3.2680 -3.3651 18.3836

6.
4
Lattice="2.9267 -5.3020 0.0000 2.9267 5.3020 0.0000 0.0000 0.0000 3.2264" Properties=species:S:1:pos:R:3 comment="CoTe2Br GGA-PBE optimized geometry" dos_ef_per_ev_atom=1.46 e_above_lowest_polymorph_ev_per_atom=0.9317 formation_energy_uncorrected_ev_per_atom=0.739 magmom_total_mub_per_atom=0.581 space_group="Cmmm, No. 65" pbc="T T T"
Co 0.0000 0.0000 0.0000
Te 1.4633 2.6510 1.6132
Te 1.4633 -2.6510 1.6132
Br 2.9267 0.0000 0.0000

7.
4
Lattice="3.0100 0.0000 0.0000 0.0000 3.5520 0.0000 0.0000 0.0000 8.8941" Properties=species:S:1:pos:R:3 comment="CoTe2Br GGA-PBE optimized geometry" dos_ef_per_ev_atom=0.70 e_above_lowest_polymorph_ev_per_atom=0.3411 formation_energy_uncorrected_ev_per_atom=0.149 magmom_total_mub_per_atom=0.121 space_group="Pmmm, No. 47" pbc="T T T"
Co 0.0000 0.0000 0.0000
Te 1.5050 1.7760 1.5197
Te 1.5050 1.7760 7.3744
Br 0.0000 0.0000 4.4470

8.
4
Lattice="0.0000 3.1968 3.1968 3.1968 0.0000 3.1968 3.1968 3.1968 0.0000" Properties=species:S:1:pos:R:3 comment="Co2TeBr GGA-PBE optimized geometry" dos_ef_per_ev_atom=1.37 e_above_lowest_polymorph_ev_per_atom=0.6446 formation_energy_uncorrected_ev_per_atom=0.649 magmom_total_mub_per_atom=0.000 space_group="Fm-3m, No. 225" pbc="T T T"
Co 1.5984 1.5984 1.5984
Co 4.7952 4.7952 4.7952
Te 0.0000 0.0000 0.0000
Br 3.1968 3.1968 3.1968

9.
4
Lattice="3.4253 0.0000 0.0000 0.0000 4.6172 0.0000 0.0000 0.0000 6.6451" Properties=species:S:1:pos:R:3 comment="CoTe2Br GGA-PBE optimized geometry" dos_ef_per_ev_atom=0.97 e_above_lowest_polymorph_ev_per_atom=0.8307 formation_energy_uncorrected_ev_per_atom=0.638 magmom_total_mub_per_atom=0.529 space_group="Pmmm, No. 47" pbc="T T T"
Co 0.0000 0.0000 0.0000
Te 0.0000 2.3086 3.3226
Te 1.7127 2.3086 0.0000
Br 1.7127 0.0000 3.3226

10.
4
Lattice="0.0000 3.5732 3.5732 3.5732 0.0000 3.5732 3.5732 3.5732 0.0000" Properties=species:S:1:pos:R:3 comment="CoTeBr2 GGA-PBE optimized geometry" dos_ef_per_ev_atom=1.36 formation_energy_uncorrected_ev_per_atom=0.687 magmom_total_mub_per_atom=0.337 space_group="F-43m, No. 216" pbc="T T T"
Co 0.0000 0.0000 0.0000
Te 5.3598 5.3598 5.3598
Br 1.7866 1.7866 1.7866
Br 3.5732 3.5732 3.5732

11.
4
Lattice="3.3882 0.0000 0.0000 0.0000 3.6883 0.0000 0.0000 0.0000 6.3905" Properties=species:S:1:pos:R:3 comment="Co2TeBr GGA-PBE optimized geometry" dos_ef_per_ev_atom=1.14 e_above_lowest_polymorph_ev_per_atom=0.2881 formation_energy_uncorrected_ev_per_atom=0.292 magmom_total_mub_per_atom=0.834 space_group="Pmmm, No. 47" pbc="T T T"
Co 0.0000 0.0000 1.1288
Co 0.0000 0.0000 5.2617
Te 1.6941 1.8442 0.0000
Br 1.6941 0.0000 3.1953

12.
4
Lattice="4.9536 0.0000 0.0000 0.0000 3.6668 0.0000 -2.4477 0.0000 6.8235" Properties=species:S:1:pos:R:3 comment="CoTe2Br GGA-PBE optimized geometry" dos_ef_per_ev_atom=0.81 e_above_lowest_polymorph_ev_per_atom=0.1279 formation_energy_uncorrected_ev_per_atom=-0.064 magmom_total_mub_per_atom=0.000 space_group="Pm, No. 6" pbc="T T T"
Co 0.0000 0.0000 0.0000
Te -0.0004 1.8334 1.7271
Te 2.4762 0.0000 0.9700
Br 2.5070 1.8334 5.2266

13.
4
Lattice="4.2147 0.0000 0.0000 0.0000 4.2147 0.0000 0.0000 0.0000 5.6257" Properties=species:S:1:pos:R:3 comment="CoTe2Br GGA-PBE optimized geometry" dos_ef_per_ev_atom=0.67 e_above_lowest_polymorph_ev_per_atom=0.6765 formation_energy_uncorrected_ev_per_atom=0.484 magmom_total_mub_per_atom=0.455 space_group="P4/mmm, No. 123" pbc="T T T"
Co 0.0000 0.0000 0.0000
Te 0.0000 0.0000 2.8128
Te 2.1074 2.1074 0.0000
Br 2.1074 2.1074 2.8128

14.
8
Lattice="-3.4270 3.4270 5.1189 3.4270 -3.4270 5.1189 3.4270 3.4270 -5.1189" Properties=species:S:1:pos:R:3 comment="CoTe2Br GGA-PBE optimized geometry" dos_ef_per_ev_atom=0.09 e_above_lowest_polymorph_ev_per_atom=0.2573 formation_energy_uncorrected_ev_per_atom=0.065 magmom_total_mub_per_atom=0.000 space_group="I-42d, No. 122" pbc="T T T"
Co 0.0000 0.0000 0.0000
Co 0.0000 3.4270 2.5595
Te 5.1405 1.0611 -1.2797
Te 1.0611 1.7135 1.2797
Te -1.7135 2.3660 3.8392
Te 2.3660 1.7135 6.3987
Br 3.4270 0.0000 2.5595
Br 0.0000 0.0000 5.1189

15.
8
Lattice="-4.7479 4.7479 2.7530 4.7479 -4.7479 2.7530 4.7479 4.7479 -2.7530" Properties=species:S:1:pos:R:3 comment="CoTe2Br GGA-PBE optimized geometry" dos_ef_per_ev_atom=0.77 e_above_lowest_polymorph_ev_per_atom=0.2863 formation_energy_uncorrected_ev_per_atom=0.094 magmom_total_mub_per_atom=0.374 space_group="I4/mcm, No. 140" pbc="T T T"
Co 4.7479 0.0000 1.3765
Co 0.0000 4.7479 1.3765
Te 6.1425 1.3947 0.0000
Te 1.3947 3.3532 0.0000
Te 3.3532 1.3947 2.7530
Te -1.3947 3.3532 2.7530
Br 0.0000 0.0000 1.3765
Br 0.0000 0.0000 4.1296

16.
8
Lattice="1.6986 -12.9477 0.0000 1.6986 12.9477 0.0000 0.0000 0.0000 4.9986" Properties=species:S:1:pos:R:3 comment="CoTe2Br GGA-PBE optimized geometry" dos_ef_per_ev_atom=0.70 e_above_lowest_polymorph_ev_per_atom=0.3209 formation_energy_uncorrected_ev_per_atom=0.129 magmom_total_mub_per_atom=0.290 space_group="Cmcm, No. 63" pbc="T T T"
Co 1.6986 11.3942 3.7490
Co 1.6986 -11.3942 1.2497
Te 1.6986 11.9419 1.2497
Te 1.6986 8.9878 3.7490
Te 1.6986 -8.9878 1.2497
Te 1.6986 -11.9419 3.7490
Br 1.6986 4.4997 3.7490
Br 1.6986 -4.4997 1.2497

17.
4
Lattice="5.2861 0.0000 0.0000 0.0000 3.8953 0.0000 -2.6257 0.0000 4.7797" Properties=species:S:1:pos:R:3 comment="CoTe2Br GGA-PBE optimized geometry" dos_ef_per_ev_atom=0.86 e_above_lowest_polymorph_ev_per_atom=0.0903 formation_energy_uncorrected_ev_per_atom=-0.102 magmom_total_mub_per_atom=0.044 space_group="P2/m, No. 10" pbc="T T T"
Co 0.0000 0.0000 0.0000
Te 0.0046 1.9477 1.6149
Te 2.6558 1.9477 3.1648
Br 2.6430 0.0000 0.0000

18.
11
Lattice="5.5726 -4.2860 0.0000 5.5726 4.2860 0.0000 -0.4715 0.0000 8.7306" Properties=species:S:1:pos:R:3 comment="Co2TeBr8 GGA-PBE optimized geometry" dos_ef_per_ev_atom=0.52 formation_energy_uncorrected_ev_per_atom=-0.195 magmom_total_mub_per_atom=0.396 space_group="C2/m, No. 12" pbc="T T T"
Co 1.2582 0.0000 3.2543
Co 9.4155 0.0000 5.4762
Te 0.0000 0.0000 0.0000
Br 3.7869 2.4482 7.1517
Br 0.7375 0.0000 5.5816
Br 3.5050 0.0000 3.7471
Br 6.8868 2.4482 1.5789
Br 3.7869 -2.4482 7.1517
Br 7.1687 0.0000 4.9835
Br 9.9362 0.0000 3.1489
Br 6.8868 -2.4482 1.5789

19.
5
Lattice="-1.8755 1.8755 7.8645 1.8755 -1.8755 7.8645 1.8755 1.8755 -7.8645" Properties=species:S:1:pos:R:3 comment="Co2Te2Br GGA-PBE optimized geometry" dos_ef_per_ev_atom=0.35 formation_energy_uncorrected_ev_per_atom=-0.185 magmom_total_mub_per_atom=0.000 space_group="I4/mmm, No. 139" pbc="T T T"
Co 1.8755 0.0000 3.9323
Co 0.0000 1.8755 3.9323
Te 0.0000 0.0000 2.3089
Te 0.0000 0.0000 13.4201
Br 0.0000 0.0000 7.8645

20.
4
Lattice="4.1202 0.0000 0.0000 0.0000 4.1202 0.0000 0.0000 0.0000 7.2515" Properties=species:S:1:pos:R:3 comment="CoTe2Br GGA-PBE optimized geometry" dos_ef_per_ev_atom=1.94 e_above_lowest_polymorph_ev_per_atom=0.7710 formation_energy_uncorrected_ev_per_atom=0.579 magmom_total_mub_per_atom=0.574 space_group="P4/mmm, No. 123" pbc="T T T"
Co 0.0000 0.0000 0.0000
Te 0.0000 2.0601 3.6258
Te 2.0601 0.0000 3.6258
Br 2.0601 2.0601 0.0000

Electronic total energy
In order: -13.84; -44.29; -16.54; -14.47; -123.02; -12.10; -14.47; -16.43; -12.51; -10.85; -17.86; -15.32; -13.13; -29.60; -29.37; -29.09; -15.47; -32.88; -23.09; -12.75
Unit: eV/cell